[1]
# LiSiAg3 PBE optimized geometry
data_LiSiAg3
_space_group_name_H-M_alt 'P m -3 m'
_space_group_IT_number 221
_space_group_name_Hall '-P 4 2 3'
_cell_length_a 4.8249
_cell_length_b 4.8249
_cell_length_c 4.8249
_cell_angle_alpha 90.00
_cell_angle_beta 90.00
_cell_angle_gamma 90.00
loop_
_atom_site_label
_atom_site_type_symbol
_atom_site_fract_x
_atom_site_fract_y
_atom_site_fract_z
Li1 Li 0.0000 0.0000 0.0000
Si1 Si 0.5000 0.5000 0.5000
Ag1 Ag 0.0000 0.5000 0.5000
# Raw formation energy in eV/f.u.: 0.82
# E above lowest polymorph in eV/atom: 0.169

[2]
# RuPt2 PBE optimized geometry
data_RuPt2
_space_group_name_H-M_alt 'F m -3 m'
_space_group_IT_number 225
_space_group_name_Hall '-F 4 2 3'
_cell_length_a 6.0146
_cell_length_b 6.0146
_cell_length_c 6.0146
_cell_angle_alpha 90.00
_cell_angle_beta 90.00
_cell_angle_gamma 90.00
loop_
_atom_site_label
_atom_site_type_symbol
_atom_site_fract_x
_atom_site_fract_y
_atom_site_fract_z
Ru1 Ru 0.0000 0.0000 0.0000
Pt1 Pt 0.2500 0.2500 0.2500
# ΔE_f in eV per atom: 0.5558

| no. | total magnetic moment (μB/atom) | VASP energy (eV/atom) | N(E_F) (states/eV/cell) |
| --- | --- | --- | --- |
| 1 | 0.000 | -3.014 | 0.9 |
| 2 | 0.614 | -6.563 | 21.1 |